The following is a DFT calculation (PBE+U) of a geometry-optimized Ac2HfNiO6 structure.

Computed properties:
For the calculated volume, the calculation gives 136.1 Å³ per cell. As for the uncorrected energy: -8.00 eV/atom. Its symmetry is Fm-3m. The total magnetic moment comes out at 0.20 μB per atom.

Cell lengths 5.774, 5.774, 5.774 Å; angles 60.00, 60.00, 90.00 degrees
Site moments in Bohr magnetons follow the coordinates.
Element x y z (fractional)
Ac 0.250 0.750 0.500  0.00
Ac 0.750 0.250 0.500  0.00
Hf 0.500 0.500 0.000  0.06
Ni 0.000 0.000 0.000  1.77
O 0.249 0.751 0.000  0.03
O 0.751 0.751 0.000  0.03
O 0.249 0.249 0.501  0.04
O 0.751 0.249 0.000  0.03
O 0.249 0.249 0.000  0.03
O 0.751 0.751 0.499  0.04